Below is an optimized crystal structure of Tl2CoAs, with properties calculated at the PBE level.

a = 7.0906 Å, b = 7.0906 Å, c = 7.0906 Å
α = 90.00°, β = 90.00°, γ = 90.00°
Closest atoms and distances in Å follow each position.
Space group F-43m (No. 216)
Unique sites:
1 Tl 0.0000 0.0000 0.0000  4 Tl 3.07, 4 Co 3.07
2 Tl 0.2500 0.2500 0.2500  4 Tl 3.07, 4 As 3.07
3 Co 0.2500 0.2500 0.7500  4 Tl 3.07, 4 As 3.07
4 As 0.0000 0.0000 0.5000  4 Tl 3.07, 4 Co 3.07

Output
**Size of the total moment**: 1.9 μB per formula unit
**Distance to the lowest polymorph of the same formula**: 511 meV per atom
**V**: 356.5 Å³/cell
**Calculated formation energy**: 619 meV/atom